No. 1
Below is Na2DyP2O6 after structural relaxation, with properties calculated at the PBE-GGA level.

Lattice parameters (Å, degrees): 5.6363 5.6363 5.9275 90.00 90.00 120.00
Sites, in units of the cell vectors:
Na 0.3333 0.6667 0.3686
Na 0.6667 0.3333 0.6314
Dy 0.0000 0.0000 0.0000
P 0.3333 0.6667 0.8654
P 0.6667 0.3333 0.1346
O 0.1361 0.7650 0.7649
O 0.2350 0.3711 0.7649
O 0.3711 0.1361 0.2351
O 0.6289 0.8639 0.7649
O 0.7650 0.6289 0.2351
O 0.8639 0.2350 0.2351

Results
Formation energy without anion corrections in meV per atom: -2223
Magnetization in μB/atom: 0.091

No. 2
Below is Al2CuPt after structural relaxation, with properties calculated at the PBE-GGA level.

Lattice parameters (Å, degrees): 5.5915 5.5915 5.5915 102.85 102.85 123.71
Sites, in units of the cell vectors:
Al 0.1169 0.1250 0.4919
Al 0.3750 0.8831 0.0081
Al 0.6331 0.6250 0.5081
Al 0.8750 0.3669 0.9919
Cu 0.2500 0.7500 0.5000
Cu 0.5000 0.5000 0.0000
Pt 0.0000 0.0000 0.0000
Pt 0.7500 0.2500 0.5000

Results
Energy of formation from the pure elements in eV/f.u.: -0.77
Magnetization in μB/atom: 0.000

No. 3
Below is Er2TlPd8 after structural relaxation, with properties calculated at the PBE-GGA level.

Lattice parameters (Å, degrees): 7.6586 7.6586 6.5849 105.83 105.83 31.83
Sites, in units of the cell vectors:
Er 0.2162 0.2162 0.1665
Er 0.7838 0.7838 0.8335
Tl 0.5000 0.5000 0.5000
Pd 0.0368 0.0368 0.2220
Pd 0.1467 0.1467 0.6929
Pd 0.3265 0.3265 0.5935
Pd 0.4076 0.4076 0.0476
Pd 0.5924 0.5924 0.9524
Pd 0.6735 0.6735 0.4065
Pd 0.8533 0.8533 0.3071
Pd 0.9632 0.9632 0.7780

Results
Energy of formation from the pure elements in eV/f.u.: -6.30
Magnetization in μB/atom: 0.000

No. 4
Below is Y4MgAl2Ag after structural relaxation, with properties calculated at the PBE-GGA level.

Lattice parameters (Å, degrees): 8.9958 8.9958 8.9958 33.48 33.48 33.48
Sites, in units of the cell vectors:
Y 0.1217 0.1217 0.1217
Y 0.3721 0.3721 0.3721
Y 0.6279 0.6279 0.6279
Y 0.8783 0.8783 0.8783
Mg 0.5000 0.5000 0.5000
Al 0.2461 0.2461 0.2461
Al 0.7539 0.7539 0.7539
Ag 0.0000 0.0000 0.0000

Results
Energy of formation from the pure elements in eV/f.u.: -2.73
Magnetization in μB/atom: 0.000

No. 5
Below is NdGa4Co after structural relaxation, with properties calculated at the PBE-GGA level.

Lattice parameters (Å, degrees): 4.4741 4.4741 6.8363 90.00 90.00 90.00
Sites, in units of the cell vectors:
Nd 0.0000 0.0000 0.0000
Ga 0.0000 0.5000 0.5000
Ga 0.5000 0.0000 0.5000
Ga 0.5000 0.5000 0.1691
Ga 0.5000 0.5000 0.8309
Co 0.5000 0.5000 0.5000

Results
Energy of formation from the pure elements in eV/f.u.: -0.68
Magnetization in μB/atom: 0.000

No. 6
Below is TlInBH2 after structural relaxation, with properties calculated at the PBE-GGA level.

Lattice parameters (Å, degrees): 3.7038 3.7038 6.4689 90.00 90.00 90.00
Sites, in units of the cell vectors:
Tl 0.0000 0.0000 0.0000
In 0.0000 0.0000 0.5000
B 0.5000 0.5000 0.5000
H 0.0000 0.5000 0.0000
H 0.5000 0.0000 0.0000

Results
Uncorrected energy in eV/atom: -2.672
Magnetization in μB/atom: 0.000